Here is an optimized crystal structure of MnNbCr2O8 from the Alexandria database. Energies are from GGA+U.

Geometry as POSCAR:
```
MnNbCr2O8
1.0
3.2494 -3.2815 0.0000
3.2494 3.2815 0.0000
0.0000 0.0000 6.0395
Mn Nb Cr O
1 1 2 8
Cartesian
0.0000 0.0000 0.0000
0.0000 0.0000 3.0198
3.2494 0.0000 1.4762
3.2494 0.0000 4.5633
3.2494 2.0044 1.4777
3.2494 2.0044 4.5618
1.9579 0.0000 0.0000
2.0070 0.0000 3.0198
4.4918 0.0000 3.0198
4.5408 0.0000 0.0000
3.2494 -2.0044 1.4777
3.2494 -2.0044 4.5618
```

Space-group type: Cmmm, No. 65
Calculated total energy in eV for the cell shown: -94.352